# 1
DFT (PBE) results for a relaxed Pm2CrWN5 crystal.

```
data_Pm2CrWN5
_cell_length_a 3.264
_cell_length_b 7.173
_cell_length_c 10.001
_cell_angle_alpha 90.00
_cell_angle_beta 90.00
_cell_angle_gamma 103.15
_space_group_name_H-M_alt 'P 1'
_space_group_IT_number 1
loop_
_space_group_symop_operation_xyz
'x,y,z'
loop_
_atom_site_label
_atom_site_type_symbol
_atom_site_fract_x
_atom_site_fract_y
_atom_site_fract_z
_atom_site_occupancy
Pm1 Pm 0.866 0.733 0.812 1
Pm2 Pm 0.119 0.239 0.688 1
Pm3 Pm 0.134 0.267 0.312 1
Pm4 Pm 0.881 0.761 0.188 1
Cr1 Cr 0.551 0.103 0.950 1
Cr2 Cr 0.449 0.897 0.450 1
W1 W 0.795 0.590 0.516 1
W2 W 0.205 0.410 0.016 1
N1 N 0.341 0.683 0.003 1
N2 N 0.681 0.363 0.875 1
N3 N 0.501 0.002 0.792 1
N4 N 0.296 0.592 0.653 1
N5 N 0.956 0.912 0.534 1
N6 N 0.659 0.317 0.503 1
N7 N 0.319 0.637 0.375 1
N8 N 0.499 0.998 0.292 1
N9 N 0.704 0.408 0.153 1
N10 N 0.044 0.088 0.034 1
```

Formation energy from raw total energies in eV per atom: -0.90
DOS(E_F) in states/eV per atom: 0.390
SG: Cmc2_1

=====

# 2
DFT (PBE) results for a relaxed PmY2CrN4 crystal.

```
data_PmY2CrN4
_cell_length_a 3.406
_cell_length_b 6.019
_cell_length_c 11.655
_cell_angle_alpha 90.00
_cell_angle_beta 90.00
_cell_angle_gamma 106.44
_space_group_name_H-M_alt 'P 1'
_space_group_IT_number 1
loop_
_space_group_symop_operation_xyz
'x,y,z'
loop_
_atom_site_label
_atom_site_type_symbol
_atom_site_fract_x
_atom_site_fract_y
_atom_site_fract_z
_atom_site_occupancy
Pm1 Pm 0.099 0.198 0.750 1
Pm2 Pm 0.901 0.802 0.250 1
Y1 Y 0.369 0.738 0.543 1
Y2 Y 0.631 0.262 0.043 1
Y3 Y 0.631 0.262 0.457 1
Y4 Y 0.369 0.738 0.957 1
Cr1 Cr 0.835 0.670 0.750 1
Cr2 Cr 0.165 0.330 0.250 1
N1 N 0.265 0.531 0.129 1
N2 N 0.735 0.469 0.629 1
N3 N 0.735 0.469 0.871 1
N4 N 0.265 0.531 0.371 1
N5 N 0.000 0.000 0.500 1
N6 N 0.000 0.000 0.000 1
N7 N 0.424 0.848 0.750 1
N8 N 0.576 0.152 0.250 1
```

Formation energy from raw total energies in eV per atom: -1.23
DOS(E_F) in states/eV per atom: 0.440
SG: Cmcm

=====

# 3
DFT (PBE) results for a relaxed PmYCrN4 crystal.

```
data_PmYCrN4
_cell_length_a 5.571
_cell_length_b 5.496
_cell_length_c 6.781
_cell_angle_alpha 90.00
_cell_angle_beta 108.16
_cell_angle_gamma 90.00
_space_group_name_H-M_alt 'P 1'
_space_group_IT_number 1
loop_
_space_group_symop_operation_xyz
'x,y,z'
loop_
_atom_site_label
_atom_site_type_symbol
_atom_site_fract_x
_atom_site_fract_y
_atom_site_fract_z
_atom_site_occupancy
Pm1 Pm 0.725 0.750 0.935 1
Pm2 Pm 0.275 0.250 0.065 1
Y1 Y 0.796 0.750 0.462 1
Y2 Y 0.204 0.250 0.538 1
Cr1 Cr 0.243 0.750 0.306 1
Cr2 Cr 0.757 0.250 0.694 1
N1 N 0.968 0.495 0.750 1
N2 N 0.032 0.995 0.250 1
N3 N 0.032 0.505 0.250 1
N4 N 0.968 0.005 0.750 1
N5 N 0.444 0.750 0.153 1
N6 N 0.556 0.250 0.847 1
N7 N 0.416 0.750 0.564 1
N8 N 0.584 0.250 0.436 1
```

Formation energy from raw total energies in eV per atom: -1.10
SG: P2_1/m